1.
VASP calculation (PBE) on a relaxed structure of Sm8Dy2Mg.

Calculated values
N(E_F) (states/eV/f.u.): 19.6
Distance to the lowest polymorph of the same formula (eV per formula unit): 0.000

Geometry as CIF:
```
data_Sm8Dy2Mg
_symmetry_space_group_name_H-M 'I m m m'
_symmetry_Int_Tables_number 71
_symmetry_space_group_name_Hall '-I 2 2'
_cell_length_a 5.5850
_cell_length_b 7.7409
_cell_length_c 16.9684
_cell_angle_alpha 90.00
_cell_angle_beta 90.00
_cell_angle_gamma 90.00
loop_
_atom_site_label
_atom_site_fract_x
_atom_site_fract_y
_atom_site_fract_z
Sm1 0.0000 0.0000 0.1757
Sm2 0.0000 0.2185 0.3651
Sm3 0.0000 0.2684 0.0000
Dy1 0.0000 0.5000 0.1950
Mg1 0.0000 0.5000 0.5000
```


2.
VASP calculation (PBE) on a relaxed structure of SmDy3Mg8.

Calculated values
N(E_F) (states/eV/f.u.): 13.8

Geometry as CIF:
```
data_SmDy3Mg8
_symmetry_space_group_name_H-M 'P 3 m 1'
_symmetry_Int_Tables_number 156
_cell_length_a 6.0810
_cell_length_b 6.0810
_cell_length_c 9.7836
_cell_angle_alpha 90.00
_cell_angle_beta 90.00
_cell_angle_gamma 120.00
loop_
_symmetry_equiv_pos_as_xyz
'x,y,z'
'-y,x-y,z'
'-x+y,-x,z'
'-y,-x,z'
'-x+y,y,z'
'x,x-y,z'
loop_
_atom_site_label
_atom_site_fract_x
_atom_site_fract_y
_atom_site_fract_z
Sm1 0.0000 0.0000 0.0000
Dy1 0.0000 0.0000 0.3726
Dy2 0.6667 0.3333 0.4983
Dy3 0.6667 0.3333 0.8686
Mg1 0.1629 0.3258 0.6841
Mg2 0.3333 0.6667 0.4349
Mg3 0.3333 0.6667 0.9350
Mg4 0.5044 0.0088 0.1857
```


3.
VASP calculation (PBE) on a relaxed structure of Sm9Dy2Mg.

Calculated values
N(E_F) (states/eV/f.u.): 17.8

Geometry as CIF:
```
data_Sm9Dy2Mg
_symmetry_space_group_name_H-M 'P 4/m m m'
_symmetry_Int_Tables_number 123
_symmetry_space_group_name_Hall '-P 4 2'
_cell_length_a 5.0555
_cell_length_b 5.0555
_cell_length_c 15.2745
_cell_angle_alpha 90.00
_cell_angle_beta 90.00
_cell_angle_gamma 90.00
loop_
_atom_site_label
_atom_site_fract_x
_atom_site_fract_y
_atom_site_fract_z
Sm1 0.0000 0.0000 0.0000
Sm2 0.0000 0.0000 0.3301
Sm3 0.0000 0.5000 0.1644
Sm4 0.0000 0.5000 0.5000
Dy1 0.5000 0.5000 0.3312
Mg1 0.5000 0.5000 0.0000
```


4.
VASP calculation (PBE) on a relaxed structure of SmDyMg.

Calculated values
N(E_F) (states/eV/f.u.): 4.3
Distance to the lowest polymorph of the same formula (eV per formula unit): 0.000

Geometry as CIF:
```
data_SmDyMg
_symmetry_space_group_name_H-M 'C m c m'
_symmetry_Int_Tables_number 63
_symmetry_space_group_name_Hall '-C 2c 2'
_cell_length_a 5.1774
_cell_length_b 13.2437
_cell_length_c 5.1818
_cell_angle_alpha 90.00
_cell_angle_beta 90.00
_cell_angle_gamma 90.00
loop_
_atom_site_label
_atom_site_fract_x
_atom_site_fract_y
_atom_site_fract_z
Sm1 0.0000 0.0893 0.2500
Dy1 0.0000 0.4093 0.2500
Mg1 0.0000 0.2500 0.7500
```


5.
VASP calculation (PBE) on a relaxed structure of Sm4Dy2Mg.

Calculated values
N(E_F) (states/eV/f.u.): 7.5
Distance to the lowest polymorph of the same formula (eV per formula unit): 0.216

Geometry as CIF:
```
data_Sm4Dy2Mg
_symmetry_space_group_name_H-M 'P 1 2/m 1'
_symmetry_Int_Tables_number 10
_cell_length_a 5.9538
_cell_length_b 3.6576
_cell_length_c 10.9195
_cell_angle_alpha 90.00
_cell_angle_beta 99.50
_cell_angle_gamma 90.00
loop_
_symmetry_equiv_pos_as_xyz
'x,y,z'
'-x,-y,-z'
'-x,y,-z'
'x,-y,z'
loop_
_atom_site_label
_atom_site_fract_x
_atom_site_fract_y
_atom_site_fract_z
Sm1 0.0508 0.0000 0.2043
Sm2 0.4322 0.5000 0.7508
Dy1 0.0000 0.5000 0.5000
Dy2 0.5000 0.0000 0.5000
Mg1 0.5000 0.0000 0.0000
```


6.
VASP calculation (PBE) on a relaxed structure of SmDy14Mg.

Calculated values
N(E_F) (states/eV/f.u.): 18.6

Geometry as CIF:
```
data_SmDy14Mg
_symmetry_space_group_name_H-M 'A m m 2'
_symmetry_Int_Tables_number 38
_cell_length_a 9.9954
_cell_length_b 9.9694
_cell_length_c 9.9698
_cell_angle_alpha 90.00
_cell_angle_beta 90.00
_cell_angle_gamma 90.00
loop_
_symmetry_equiv_pos_as_xyz
'x,y,z'
'-x,-y,z'
'-x,y,z'
'x,-y,z'
'x,y+1/2,z+1/2'
'-x,-y+1/2,z+1/2'
'-x,y+1/2,z+1/2'
'x,-y+1/2,z+1/2'
loop_
_atom_site_label
_atom_site_fract_x
_atom_site_fract_y
_atom_site_fract_z
Sm1 0.0000 0.0000 0.0000
Dy1 0.0000 0.2500 0.2501
Dy2 0.2499 0.0000 0.2492
Dy3 0.2501 0.0000 0.7509
Dy4 0.2500 0.2492 0.0001
Dy5 0.5000 0.0000 0.0001
Dy6 0.5000 0.0000 0.5000
Dy7 0.5000 0.2500 0.2500
Mg1 0.0000 0.0000 0.5007
```


How do the records compare in formation enthalpy at 0 K? In the order shown, they have 0.103; -0.072; 0.015; -0.046; 0.127; 0.019 eV/atom.